Compound: Li7Cu6O12
Source: Alexandria via LeMat-Bulk
Functional: SCAN
Structure: PBEsol geometry

a b c (Å): 5.130 6.483 8.158
angles (deg): 101.64 105.68 98.97
Fractional positions:
Li 0.000 0.000 0.000
Li 0.000 0.023 0.333
Li 0.000 0.977 0.667
Li 0.087 0.388 0.908
Li 0.087 0.389 0.589
Li 0.913 0.611 0.411
Li 0.913 0.612 0.092
Cu 0.445 0.764 0.868
Cu 0.452 0.776 0.206
Cu 0.453 0.771 0.537
Cu 0.547 0.229 0.463
Cu 0.548 0.224 0.794
Cu 0.555 0.236 0.132
O 0.192 0.733 0.320
O 0.193 0.701 0.645
O 0.193 0.701 0.986
O 0.286 0.170 0.577
O 0.293 0.173 0.911
O 0.297 0.180 0.244
O 0.703 0.820 0.756
O 0.707 0.827 0.089
O 0.714 0.830 0.423
O 0.807 0.299 0.014
O 0.807 0.299 0.355
O 0.808 0.267 0.680

E_form (uncorrected): -1.331 eV per atom
E: -215.98 eV/cell
SG: P-1 (2)

=====

Compound: InTcSbTe2
Source: Alexandria via LeMat-Bulk
Functional: SCAN
Structure: PBEsol geometry

a b c (Å): 5.272 5.272 5.052
angles (deg): 90.00 90.00 90.00
Fractional positions:
In 0.000 0.000 0.000
Tc 0.500 0.500 0.500
Sb 0.500 0.500 0.000
Te 0.000 0.500 0.500
Te 0.500 0.000 0.500

E_form (uncorrected): 0.418 eV per atom
E: -178.12 eV/cell
SG: P4/mmm (123)

=====

Compound: BaZrTe2
Source: Alexandria via LeMat-Bulk
Functional: SCAN
Structure: PBEsol geometry

a b c (Å): 10.558 10.558 10.558
angles (deg): 21.98 21.98 21.98
Fractional positions:
Ba 0.000 0.000 0.000
Zr 0.500 0.500 0.500
Te 0.110 0.110 0.110
Te 0.890 0.890 0.890

E_form (uncorrected): -0.843 eV per atom
excess energy over the best structure of this formula in the dataset: 0.1418 eV per atom
E: -148.12 eV/cell
SG: R-3m (166)

=====

Compound: Tl2Ni
Source: Alexandria via LeMat-Bulk
Functional: SCAN
Structure: PBEsol geometry

a b c (Å): 3.403 3.403 6.247
angles (deg): 90.00 90.00 120.00
Fractional positions:
Tl 0.333 0.667 0.286
Tl 0.667 0.333 0.714
Ni 0.000 0.000 0.000

E: -159.78 eV/cell
ΔH_f (0 K): 0.371 eV per atom
SG: P-3m1 (164)